Material: Tb3Pr2Dy3
Method: DFT, PBE
State: relaxed

Space-group type: Cmcm, No. 63
Energy above the lowest structure with this stoichiometry in eV per atom: 0.1085

The structure in POSCAR format:
```
Tb3Pr2Dy3
1.0
1.803 -8.715 0.000
1.803 8.715 0.000
0.000 0.000 17.066
Tb Pr Dy
6 4 6
Cartesian
1.803 6.860 12.800
1.803 6.173 8.707
1.803 6.173 16.892
1.803 -6.173 0.174
1.803 -6.173 8.359
1.803 -6.860 4.267
1.803 3.847 11.104
1.803 3.847 14.495
1.803 -3.847 2.571
1.803 -3.847 5.962
1.803 7.309 4.267
1.803 0.066 10.250
1.803 0.066 15.349
1.803 -0.066 1.717
1.803 -0.066 6.816
1.803 -7.309 12.800
```


Material: Tb2Pr6Dy3
Method: DFT, PBE
State: relaxed

Space-group type: P-1, No. 2
Energy above the lowest structure with this stoichiometry in eV per atom: 0.0000

The structure in POSCAR format:
```
Tb2Pr6Dy3
1.0
6.304 0.000 0.000
-2.090 7.841 0.000
-1.038 -2.795 7.586
Tb Pr Dy
2 6 3
Cartesian
0.538 3.095 0.352
2.638 1.951 7.234
-1.548 4.207 3.093
0.522 -0.281 1.745
-0.491 3.625 6.566
3.667 1.420 1.021
2.654 5.326 5.841
4.724 0.839 4.493
1.584 -0.818 5.179
1.588 2.523 3.793
1.592 5.864 2.408
```


Material: Tb5Pr3Dy4
Method: DFT, PBE
State: relaxed

Space-group type: P-1, No. 2
Energy above the lowest structure with this stoichiometry in eV per atom: 0.0000

The structure in POSCAR format:
```
Tb5Pr3Dy4
1.0
6.221 0.000 0.000
-0.021 7.181 0.000
-0.019 -0.002 8.798
Tb Pr Dy
5 3 4
Cartesian
0.000 0.000 0.000
2.068 3.587 2.931
3.066 5.396 8.796
3.114 1.783 0.003
4.112 3.592 5.867
-0.011 3.590 0.000
1.016 1.786 5.856
5.164 5.392 2.942
1.020 5.395 5.864
2.070 0.000 2.927
4.110 7.178 5.871
5.160 1.784 2.934
```


Material: TbPrDy
Method: DFT, PBE
State: relaxed

Space-group type: P6_3mc, No. 186
Energy above the lowest structure with this stoichiometry in eV per atom: 0.1005

The structure in POSCAR format:
```
TbPrDy
1.0
3.557 0.000 0.000
-1.779 3.081 0.000
0.000 0.000 18.414
Tb Pr Dy
2 2 2
Cartesian
0.000 2.054 0.000
1.779 1.027 9.207
0.000 0.000 2.928
0.000 0.000 12.135
0.000 2.054 15.052
1.779 1.027 5.845
```


Material: TbPr5Dy4
Method: DFT, PBE
State: relaxed

Space-group type: C2/m, No. 12

The structure in POSCAR format:
```
TbPr5Dy4
1.0
9.413 -1.817 0.000
9.413 1.817 0.000
-2.852 0.000 9.869
Tb Pr Dy
1 5 4
Cartesian
0.000 0.000 0.000
-1.426 0.000 4.935
2.058 0.000 5.926
6.979 0.000 1.920
8.995 0.000 7.949
13.916 0.000 3.943
3.471 0.000 0.985
5.508 0.000 6.955
10.466 0.000 2.914
12.503 0.000 8.884
```


Material: Tb2Pr4Dy
Method: DFT, PBE
State: relaxed

Space-group type: P2_1/m, No. 11
Energy above the lowest structure with this stoichiometry in eV per atom: 0.0598

The structure in POSCAR format:
```
Tb2Pr4Dy
1.0
6.252 0.000 0.000
0.000 6.728 0.000
-2.912 0.000 11.412
Tb Pr Dy
4 8 2
Cartesian
-0.789 1.682 5.653
1.112 1.682 0.861
2.227 5.046 10.551
4.129 5.046 5.759
-1.378 0.067 8.954
-1.378 3.297 8.954
2.028 5.046 0.578
1.052 5.046 7.266
2.287 1.682 4.147
1.312 1.682 10.834
4.718 3.431 2.459
4.718 6.661 2.459
1.219 5.046 3.867
2.120 1.682 7.545
```


Material: TbPr6Dy2
Method: DFT, PBE
State: relaxed

Space-group type: Cmmm, No. 65
Energy above the lowest structure with this stoichiometry in eV per atom: 0.0468

The structure in POSCAR format:
```
TbPr6Dy2
1.0
4.753 -8.952 0.000
4.753 8.952 0.000
0.000 0.000 3.688
Tb Pr Dy
1 6 2
Cartesian
0.000 0.000 0.000
3.087 2.962 0.000
3.009 0.000 1.844
3.087 -2.962 0.000
6.420 2.962 0.000
6.498 0.000 1.844
6.420 -2.962 0.000
4.753 5.794 1.844
4.753 -5.794 1.844
```


Material: TbPr4Dy15
Method: DFT, PBE
State: relaxed

Space-group type: P4/mmm, No. 123

The structure in POSCAR format:
```
TbPr4Dy15
1.0
5.066 0.000 0.000
0.000 5.066 0.000
0.000 0.000 25.216
Tb Pr Dy
1 4 15
Cartesian
0.000 0.000 0.000
0.000 0.000 5.023
0.000 0.000 10.075
0.000 0.000 15.141
0.000 0.000 20.193
0.000 2.533 2.482
0.000 2.533 7.546
0.000 2.533 12.608
0.000 2.533 17.670
0.000 2.533 22.734
2.533 0.000 2.482
2.533 0.000 7.546
2.533 0.000 12.608
2.533 0.000 17.670
2.533 0.000 22.734
2.533 2.533 0.000
2.533 2.533 5.011
2.533 2.533 10.078
2.533 2.533 15.137
2.533 2.533 20.205
```


Material: Tb4PrDy8
Method: DFT, PBE
State: relaxed

Space-group type: R-3m, No. 166

The structure in POSCAR format:
```
Tb4PrDy8
1.0
3.659 2.112 9.046
-3.659 2.112 9.046
0.000 -4.225 9.046
Tb Pr Dy
4 1 8
Cartesian
0.000 0.000 0.000
-1.829 -1.056 9.046
-1.829 1.056 18.093
0.000 2.112 9.046
0.000 0.000 13.570
-2.038 -1.176 15.333
0.000 0.000 5.924
0.000 -2.353 11.806
-2.038 1.176 11.806
2.038 -1.176 15.333
0.000 2.353 15.333
0.000 0.000 21.215
2.038 1.176 11.806
```


Material: Tb2Pr5Dy5
Method: DFT, PBE
State: relaxed

Space-group type: C2/m, No. 12

The structure in POSCAR format:
```
Tb2Pr5Dy5
1.0
7.674 -2.554 0.000
7.674 2.554 0.000
-5.125 0.000 10.250
Tb Pr Dy
2 5 5
Cartesian
-0.017 0.000 2.589
10.240 0.000 7.661
-2.562 0.000 5.125
-2.594 0.000 10.235
0.011 0.000 7.668
10.212 0.000 2.582
12.817 0.000 0.015
2.547 0.000 5.122
5.136 0.000 2.576
7.674 0.000 0.000
5.088 0.000 7.674
7.677 0.000 5.128
```


Material: TbPrDy3
Method: DFT, PBE
State: relaxed

Space-group type: P2_1/m, No. 11

The structure in POSCAR format:
```
TbPrDy3
1.0
8.759 0.000 0.000
0.000 3.579 0.000
-2.926 0.000 10.344
Tb Pr Dy
2 2 6
Cartesian
-0.009 0.895 1.544
5.842 2.684 8.800
2.923 0.895 3.588
2.910 2.684 6.756
-0.032 2.684 4.654
-0.036 0.895 7.768
2.916 2.684 0.482
2.917 0.895 9.863
5.870 2.684 2.576
5.865 0.895 5.690
```


Material: Tb2Pr7Dy2
Method: DFT, PBE
State: relaxed

Space-group type: Cmmm, No. 65

The structure in POSCAR format:
```
Tb2Pr7Dy2
1.0
3.369 -6.104 0.000
3.369 6.104 0.000
0.000 0.000 9.721
Tb Pr Dy
2 7 2
Cartesian
3.369 3.270 0.000
3.369 -3.270 0.000
0.000 0.000 1.741
0.000 0.000 7.980
1.685 3.052 3.080
1.685 3.052 6.641
1.685 -3.052 3.080
1.685 -3.052 6.641
3.369 0.000 0.000
1.675 0.000 4.860
5.063 0.000 4.860
```


Let's list formation enthalpy at 0 K in order: 0.1300, 0.0162, 0.0165, 0.1185, 0.0170, 0.1219, 0.1272, 0.0199, 0.1926, 0.0190, 0.0185, 0.3241 eV per atom.